Entry 1:
Computed, not measured: an optimized crystal structure of Pm2ReOs3 at the PBE-GGA level of DFT.

Calculated values
D(E_F): 15.248 states/eV/cell
Calculated formation energy: -0.12 eV/atom

```
data_Pm2ReOs3
_cell_length_a 5.5425
_cell_length_b 5.5425
_cell_length_c 8.5209
_cell_angle_alpha 90.00
_cell_angle_beta 90.00
_cell_angle_gamma 120.00
_space_group_name_H-M_alt 'P 63/m m c'
_space_group_IT_number 194
_space_group_name_Hall '-P 6c 2c'
loop_
_atom_site_label
_atom_site_type_symbol
_atom_site_fract_x
_atom_site_fract_y
_atom_site_fract_z
_atom_site_occupancy
Pm1 Pm 0.3333 0.6667 0.0663 1
Re1 Re 0.0000 0.0000 0.0000 1
Os1 Os 0.1711 0.3422 0.7500 1
```



Entry 2:
Computed, not measured: an optimized crystal structure of PmReOs at the PBE-GGA level of DFT.

Calculated values
D(E_F): 3.585 states/eV/cell
Calculated formation energy: 0.51 eV/atom

```
data_PmReOs
_cell_length_a 4.621
_cell_length_b 4.621
_cell_length_c 6.327
_cell_angle_alpha 90.00
_cell_angle_beta 90.00
_cell_angle_gamma 90.00
_space_group_name_H-M_alt 'P 4/n m m'
_space_group_IT_number 129
loop_
_space_group_symop_operation_xyz
'x,y,z'
'-x,-y,-z'
'-y+1/2,x,z'
'y+1/2,-x,-z'
'-x+1/2,-y+1/2,z'
'x+1/2,y+1/2,-z'
'y,-x+1/2,z'
'-y,x+1/2,-z'
'x+1/2,-y,-z'
'-x+1/2,y,z'
'-y,-x,-z'
'y,x,z'
'-x,y+1/2,-z'
'x,-y+1/2,z'
'y+1/2,x+1/2,-z'
'-y+1/2,-x+1/2,z'
loop_
_atom_site_label
_atom_site_type_symbol
_atom_site_fract_x
_atom_site_fract_y
_atom_site_fract_z
_atom_site_occupancy
Pm1 Pm 0.250 0.750 0.000 1
Re1 Re 0.250 0.250 0.336 1
Os1 Os 0.250 0.750 0.500 1
```



> Which formula does entry 1 have?

Pm2ReOs3



Please write out number 1 again, unchanged.
Computed, not measured: an optimized crystal structure of Pm2ReOs3 at the PBE-GGA level of DFT.

Calculated values
D(E_F): 15.248 states/eV/cell
Calculated formation energy: -0.12 eV/atom

```
data_Pm2ReOs3
_cell_length_a 5.5425
_cell_length_b 5.5425
_cell_length_c 8.5209
_cell_angle_alpha 90.00
_cell_angle_beta 90.00
_cell_angle_gamma 120.00
_space_group_name_H-M_alt 'P 63/m m c'
_space_group_IT_number 194
_space_group_name_Hall '-P 6c 2c'
loop_
_atom_site_label
_atom_site_type_symbol
_atom_site_fract_x
_atom_site_fract_y
_atom_site_fract_z
_atom_site_occupancy
Pm1 Pm 0.3333 0.6667 0.0663 1
Re1 Re 0.0000 0.0000 0.0000 1
Os1 Os 0.1711 0.3422 0.7500 1
```